# 1
VASP calculation (PBE) on crystalline MnOsSe at its relaxed geometry.

Lattice parameters (Å, degrees): 5.1737 5.1737 5.1737 41.13 41.13 41.13
Positions (direct):
1 Mn 0.0000 0.0000 0.0000
2 Os 0.6001 0.6001 0.6001
3 Se 0.4286 0.4286 0.4286

Summary:
V = 54 Å³/f.u.
crystal system = trigonal
DOS(E_F) = 2.0 states/eV/cell
relative energy among the computed polymorphs = 22.7 kJ per mole of atoms
space-group type = R3m, No. 160

---

# 2
VASP calculation (PBE) on crystalline Tm2ZrIr3 at its relaxed geometry.

Lattice parameters (Å, degrees): 4.7471 4.7471 11.6626 90.00 90.00 120.00
Positions (direct):
1 Tm 0.0000 0.0000 0.0000
2 Tm 0.0000 0.0000 0.5000
3 Tm 0.3333 0.6667 0.1657
4 Tm 0.6667 0.3333 0.8343
5 Zr 0.3333 0.6667 0.6664
6 Zr 0.6667 0.3333 0.3336
7 Ir 0.0000 0.0000 0.2571
8 Ir 0.0000 0.0000 0.7429
9 Ir 0.3333 0.6667 0.4159
10 Ir 0.3333 0.6667 0.9076
11 Ir 0.6667 0.3333 0.0924
12 Ir 0.6667 0.3333 0.5841

Summary:
V = 114 Å³/f.u.
ΔE_f = -0.8731 eV/atom
crystal system = trigonal
DOS(E_F) = 7.3 states/eV/cell
space-group type = P-3m1, No. 164

---

# 3
VASP calculation (PBE) on crystalline Li2CrSi at its relaxed geometry.

Lattice parameters (Å, degrees): 4.9330 4.9330 4.9330 135.93 135.93 64.09
Positions (direct):
1 Li 0.2500 0.7500 0.5000
2 Li 0.7500 0.2500 0.5000
3 Cr 0.0000 0.0000 0.0000
4 Si 0.5000 0.5000 0.0000

Summary:
electronic total energy = -18.7 eV per cell
V = 57 Å³/f.u.
crystal system = tetragonal
DOS(E_F) = 1.1 states/eV/cell
space-group type = I4/mmm, No. 139